(1)
Here is PrFeSi2 after structural relaxation from Alexandria via LeMat-Bulk. Energies are from PBE.

Values from the calculation:
As for the magnetization: 0.000 μB per cell. The space-group type is Pnma. As for the raw formation energy: -0.620 eV/atom. The energy comes out at -0.244 Ha/atom.

Lattice parameters (Å, degrees): 6.935 4.041 10.023 90.00 90.00 90.00
Atoms (fractional coordinates):
Pr 0.156 0.250 0.122
Pr 0.344 0.750 0.622
Pr 0.656 0.250 0.378
Pr 0.844 0.750 0.878
Fe 0.011 0.750 0.389
Fe 0.489 0.250 0.889
Fe 0.511 0.750 0.111
Fe 0.989 0.250 0.611
Si 0.163 0.250 0.812
Si 0.169 0.250 0.422
Si 0.331 0.750 0.922
Si 0.337 0.750 0.312
Si 0.663 0.250 0.688
Si 0.669 0.250 0.078
Si 0.831 0.750 0.578
Si 0.837 0.750 0.188



(2)
Here is TbNb2Ni9 after structural relaxation from Alexandria via LeMat-Bulk. Energies are from PBE.

Values from the calculation:
As for the magnetization: 0.000 μB per cell. The value obtained for the formation energy is -3.28 eV/f.u. The space-group type is R-3m. The energy comes out at -0.245 Ha/atom.

Lattice parameters (Å, degrees): 8.352 8.352 8.352 33.61 33.61 33.61
Atoms (fractional coordinates):
Tb 0.000 0.000 0.000
Nb 0.142 0.142 0.142
Nb 0.858 0.858 0.858
Ni 0.082 0.589 0.589
Ni 0.334 0.334 0.334
Ni 0.411 0.411 0.918
Ni 0.411 0.918 0.411
Ni 0.500 0.500 0.500
Ni 0.589 0.082 0.589
Ni 0.589 0.589 0.082
Ni 0.666 0.666 0.666
Ni 0.918 0.411 0.411



(3)
Here is La3TbDy3Te8 after structural relaxation from Alexandria via LeMat-Bulk. Energies are from PBE.

Values from the calculation:
As for the magnetization: 0.001 μB per cell. The space-group type is R-3m. As for the raw formation energy: -1.475 eV/atom. The energy comes out at -0.197 Ha/atom.

Lattice parameters (Å, degrees): 8.944 8.944 8.944 59.30 59.30 59.30
Atoms (fractional coordinates):
La 0.000 0.500 0.500
La 0.500 0.000 0.500
La 0.500 0.500 0.000
Tb 0.500 0.500 0.500
Dy 0.000 0.000 0.500
Dy 0.000 0.500 0.000
Dy 0.500 0.000 0.000
Te 0.238 0.751 0.751
Te 0.245 0.245 0.245
Te 0.249 0.249 0.762
Te 0.249 0.762 0.249
Te 0.751 0.238 0.751
Te 0.751 0.751 0.238
Te 0.755 0.755 0.755
Te 0.762 0.249 0.249



(4)
Here is Sm4CSe3 after structural relaxation from Alexandria via LeMat-Bulk. Energies are from PBE.

Values from the calculation:
The value obtained for the relative energy among the computed polymorphs is 0.00 kJ/mol of atoms. As for the magnetization: 0.000 μB per cell. The space-group type is Cmmm. As for the raw formation energy: -1.469 eV/atom. The energy comes out at -0.231 Ha/atom.

Lattice parameters (Å, degrees): 7.116 7.116 4.004 90.00 90.00 108.71
Atoms (fractional coordinates):
Sm 0.214 0.214 0.500
Sm 0.225 0.775 0.000
Sm 0.775 0.225 0.000
Sm 0.786 0.786 0.500
C 0.000 0.000 0.000
Se 0.000 0.500 0.500
Se 0.500 0.000 0.500
Se 0.500 0.500 0.000



(5)
Here is RbMn3Ru after structural relaxation from Alexandria via LeMat-Bulk. Energies are from PBE.

Values from the calculation:
The value obtained for the relative energy among the computed polymorphs is 0.00 kJ/mol of atoms. As for the magnetization: 12.832 μB per cell. The value obtained for the formation energy is 5.00 eV/f.u. The space-group type is Pm-3m. The energy comes out at -0.241 Ha/atom.

Lattice parameters (Å, degrees): 4.991 4.991 4.991 90.00 90.00 90.00
Atoms (fractional coordinates):
Rb 0.000 0.000 0.000
Mn 0.000 0.500 0.500
Mn 0.500 0.000 0.500
Mn 0.500 0.500 0.000
Ru 0.500 0.500 0.500



(6)
Here is HfTiTe2 after structural relaxation from Alexandria via LeMat-Bulk. Energies are from PBE.

Values from the calculation:
The value obtained for the relative energy among the computed polymorphs is 0.00 kJ/mol of atoms. As for the magnetization: 0.000 μB per cell. The space-group type is Fm-3m. As for the raw formation energy: -0.474 eV/atom. The energy comes out at -0.239 Ha/atom.

Lattice parameters (Å, degrees): 4.932 4.932 4.932 60.00 60.00 60.00
Atoms (fractional coordinates):
Hf 0.000 0.000 0.000
Ti 0.500 0.500 0.500
Te 0.250 0.250 0.250
Te 0.750 0.750 0.750



(7)
Here is ZrNb2VCo after structural relaxation from Alexandria via LeMat-Bulk. Energies are from PBE.

Values from the calculation:
As for the magnetization: 0.000 μB per cell. The value obtained for the formation energy is 3.40 eV/f.u. The space-group type is P4/mmm. The energy comes out at -0.305 Ha/atom.

Lattice parameters (Å, degrees): 4.668 4.668 4.285 90.00 90.00 90.00
Atoms (fractional coordinates):
Zr 0.000 0.000 0.000
Nb 0.000 0.500 0.500
Nb 0.500 0.000 0.500
V 0.500 0.500 0.500
Co 0.500 0.500 0.000



(8)
Here is CdOsSeBr2 after structural relaxation from Alexandria via LeMat-Bulk. Energies are from PBE.

Values from the calculation:
The value obtained for the relative energy among the computed polymorphs is 0.00 kJ/mol of atoms. As for the magnetization: 0.000 μB per cell. The space-group type is P4/mmm. As for the raw formation energy: 0.330 eV/atom. The energy comes out at -0.127 Ha/atom.

Lattice parameters (Å, degrees): 5.285 5.285 4.683 90.00 90.00 90.00
Atoms (fractional coordinates):
Cd 0.000 0.000 0.000
Os 0.500 0.500 0.500
Se 0.500 0.500 0.000
Br 0.000 0.500 0.500
Br 0.500 0.000 0.500



(9)
Here is KTcIr2 after structural relaxation from Alexandria via LeMat-Bulk. Energies are from PBE.

Values from the calculation:
The value obtained for the relative energy among the computed polymorphs is 85.65 kJ/mol of atoms. As for the magnetization: 2.549 μB per cell. The value obtained for the formation energy is 4.97 eV/f.u. The space-group type is Pmmm. The energy comes out at -0.222 Ha/atom.

Lattice parameters (Å, degrees): 2.725 4.979 5.063 90.00 90.00 90.00
Atoms (fractional coordinates):
K 0.000 0.000 0.000
Tc 0.500 0.500 0.000
Ir 0.000 0.500 0.500
Ir 0.500 0.000 0.500



(10)
Here is La12Y5Tm2 after structural relaxation from Alexandria via LeMat-Bulk. Energies are from PBE.

Values from the calculation:
The value obtained for the relative energy among the computed polymorphs is 4.97 kJ/mol of atoms. As for the magnetization: 0.000 μB per cell. The value obtained for the formation energy is 2.78 eV/f.u. The space-group type is C2/m. The energy comes out at -0.189 Ha/atom.

Lattice parameters (Å, degrees): 10.476 10.476 10.098 115.36 115.36 42.68
Atoms (fractional coordinates):
La 0.002 0.002 0.295
La 0.068 0.603 0.006
La 0.089 0.589 0.656
La 0.397 0.932 0.994
La 0.411 0.911 0.344
La 0.485 0.485 0.157
La 0.515 0.515 0.843
La 0.589 0.089 0.656
La 0.603 0.068 0.006
La 0.911 0.411 0.344
La 0.932 0.397 0.994
La 0.998 0.998 0.705
Y 0.000 0.000 0.000
Y 0.172 0.172 0.666
Y 0.324 0.324 0.311
Y 0.676 0.676 0.689
Y 0.828 0.828 0.334
Tm 0.301 0.699 0.500
Tm 0.699 0.301 0.500



(11)
Here is ScTc2P after structural relaxation from Alexandria via LeMat-Bulk. Energies are from PBE.

Values from the calculation:
As for the magnetization: 0.000 μB per cell. The value obtained for the formation energy is -1.37 eV/f.u. The space-group type is Immm. The energy comes out at -0.311 Ha/atom.

Lattice parameters (Å, degrees): 5.111 5.111 5.111 145.43 125.08 66.54
Atoms (fractional coordinates):
Sc 0.000 0.000 0.000
Tc 0.286 0.786 0.500
Tc 0.714 0.214 0.500
P 0.500 0.500 0.000



(12)
Here is ScCuAs3 after structural relaxation from Alexandria via LeMat-Bulk. Energies are from PBE.

Values from the calculation:
The value obtained for the relative energy among the computed polymorphs is 0.00 kJ/mol of atoms. As for the magnetization: 0.000 μB per cell. The value obtained for the formation energy is 0.80 eV/f.u. The space-group type is Pm-3m. The energy comes out at -0.173 Ha/atom.

Lattice parameters (Å, degrees): 4.709 4.709 4.709 90.00 90.00 90.00
Atoms (fractional coordinates):
Sc 0.000 0.000 0.000
Cu 0.500 0.500 0.500
As 0.000 0.500 0.500
As 0.500 0.000 0.500
As 0.500 0.500 0.000